# 1
Material: HfSN3
Method: DFT, PBE-GGA
State: optimized geometry

Cell lengths 3.5708, 3.5708, 3.5708 Å; angles 90.00, 90.00, 90.00 degrees
Closest atoms and distances in Å follow each position.
Sites, in units of the cell vectors:
Hf: 0.5000 0.5000 0.5000  12 N 2.52
N: 0.0000 0.0000 0.5000  2 S 1.79
N: 0.5000 0.0000 0.0000  2 S 1.79
N: 0.0000 0.5000 0.0000  2 S 1.79
S: 0.0000 0.0000 0.0000  6 N 1.79

Values from the calculation:
* VASP energy: -36.14 eV for the cell shown
* symmetry: Pm-3m (221)
* formation energy from raw total energies: 282 kJ/mol of formula units

# 2
Material: HfSN
Method: DFT, PBE-GGA
State: optimized geometry

Cell lengths 3.4732, 6.0079, 4.3978 Å; angles 90.00, 90.00, 106.80 degrees
Closest atoms and distances in Å follow each position.
Sites, in units of the cell vectors:
N: 0.2250 0.4499 0.7500  4 Hf 2.08-2.27
S: 0.5000 0.0000 0.5000  2 S 2.20
N: 0.7750 0.5501 0.2500  4 Hf 2.08-2.27
Hf: 0.8250 0.6499 0.7500  4 N 2.08-2.27
Hf: 0.1750 0.3501 0.2500  4 N 2.08-2.27
S: 0.5000 0.0000 0.0000  2 S 2.20

Values from the calculation:
* VASP energy: -52.31 eV for the cell shown
* symmetry: Cmcm (63)
* formation energy from raw total energies: -362 kJ/mol of formula units

# 3
Material: HfSN3
Method: DFT, PBE-GGA
State: optimized geometry

Cell lengths 4.1796, 4.1796, 4.1796 Å; angles 90.00, 90.00, 90.00 degrees
Closest atoms and distances in Å follow each position.
Sites, in units of the cell vectors:
N: 0.5000 0.0000 0.0000  2 Hf 2.09
Hf: 0.0000 0.0000 0.0000  6 N 2.09
N: 0.0000 0.5000 0.0000  2 Hf 2.09
S: 0.5000 0.5000 0.5000  12 N 2.96
N: 0.0000 0.0000 0.5000  2 Hf 2.09

Values from the calculation:
* VASP energy: -32.35 eV for the cell shown
* symmetry: Pm-3m (221)
* formation energy from raw total energies: 647 kJ/mol of formula units

# 4
Material: HfS3N
Method: DFT, PBE-GGA
State: optimized geometry

Cell lengths 4.9415, 4.9415, 4.9415 Å; angles 90.00, 90.00, 90.00 degrees
Closest atoms and distances in Å follow each position.
Sites, in units of the cell vectors:
S: 0.0000 0.5000 0.0000  2 Hf 2.47
S: 0.0000 0.0000 0.5000  2 Hf 2.47
S: 0.5000 0.0000 0.0000  2 Hf 2.47
N: 0.5000 0.5000 0.5000  12 S 3.49
Hf: 0.0000 0.0000 0.0000  6 S 2.47

Values from the calculation:
* VASP energy: -27.73 eV for the cell shown
* symmetry: Pm-3m (221)
* formation energy from raw total energies: 283 kJ/mol of formula units
* excess energy over the best structure of this formula in the dataset: 231 meV per atom